(1)
CrCu: optimized geometry, PBE.

a b c (Å): 7.3297 7.3297 3.9912
angles (deg): 90.00 90.00 90.00
Closest atoms and distances in Å follow each position.
Positions (direct):
Cr  0.5350  0.8530  0.5000  3 Cr 2.22-2.31, 1 Cu 2.45
Cu  0.1957  0.8660  0.5000  4 Cr 2.45-2.62, 4 Cu 2.46-2.66
Cr  0.1470  0.5350  0.5000  3 Cr 2.22-2.31, 1 Cu 2.45
Cu  0.1340  0.1957  0.5000  4 Cr 2.45-2.62, 4 Cu 2.46-2.66
Cr  0.6470  0.9650  0.0000  3 Cr 2.22-2.31, 1 Cu 2.45
Cr  0.4650  0.1470  0.5000  3 Cr 2.22-2.31, 1 Cu 2.45
Cu  0.8660  0.8043  0.5000  4 Cr 2.45-2.62, 4 Cu 2.46-2.66
Cu  0.8043  0.1340  0.5000  4 Cr 2.45-2.62, 4 Cu 2.46-2.66
Cu  0.3043  0.3660  0.0000  4 Cr 2.45-2.62, 4 Cu 2.46-2.66
Cr  0.9650  0.3530  0.0000  3 Cr 2.22-2.31, 1 Cu 2.45
Cu  0.3660  0.6957  0.0000  4 Cr 2.45-2.62, 4 Cu 2.46-2.66
Cr  0.3530  0.0350  0.0000  3 Cr 2.22-2.31, 1 Cu 2.45
Cu  0.6340  0.3043  0.0000  4 Cr 2.45-2.62, 4 Cu 2.46-2.66
Cr  0.0350  0.6470  0.0000  3 Cr 2.22-2.31, 1 Cu 2.45
Cu  0.6957  0.6340  0.0000  4 Cr 2.45-2.62, 4 Cu 2.46-2.66
Cr  0.8530  0.4650  0.5000  3 Cr 2.22-2.31, 1 Cu 2.45

Summary:
E_form ... 0.476 eV per atom
E ... -102.1 eV/cell
Symmetry ... P4/mnc, No. 128


(2)
Cr3Cu: optimized geometry, PBE.

a b c (Å): 2.3430 3.9807 5.0479
angles (deg): 90.00 90.00 90.00
Closest atoms and distances in Å follow each position.
Positions (direct):
Cr  0.0000  0.0000  0.0001  4 Cr 2.34-2.53
Cu  0.5000  0.5000  0.2500  2 Cu 2.34, 2 Cr 2.52
Cr  0.5000  0.5000  0.7500  2 Cr 2.34, 2 Cu 2.52
Cr  0.0000  0.0000  0.4999  4 Cr 2.34-2.53

Summary:
E_form ... 0.301 eV per atom
E ... -31.8 eV/cell
Symmetry ... Pmmm, No. 47


(3)
CrCu3: optimized geometry, PBE.

a b c (Å): 2.5323 2.5323 8.6884
angles (deg): 81.62 98.38 120.00
Closest atoms and distances in Å follow each position.
Positions (direct):
Cu  0.2494  0.7506  0.7483  9 Cu 2.53-2.58, 3 Cr 2.60
Cu  0.5000  0.5000  0.5000  12 Cu 2.53-2.58
Cr  0.0000  0.0000  0.0000  6 Cr 2.53, 6 Cu 2.60
Cu  0.7506  0.2494  0.2517  9 Cu 2.53-2.58, 3 Cr 2.60

Summary:
E_form ... 0.195 eV per atom
E ... -21.1 eV/cell
Symmetry ... R-3m, No. 166


(4)
CrCu3: optimized geometry, PBE.

a b c (Å): 4.3890 8.5779 5.1579
angles (deg): 90.00 90.00 90.00
Closest atoms and distances in Å follow each position.
Positions (direct):
Cu  0.2513  0.5046  0.3841  9 Cu 2.49-2.66, 3 Cr 2.59-2.66
Cu  0.7513  0.5046  0.1159  9 Cu 2.49-2.66, 3 Cr 2.59-2.66
Cu  0.5775  0.7500  0.3606  8 Cu 2.47-2.66, 4 Cr 2.51-2.72
Cr  0.0624  0.7500  0.6536  2 Cr 2.41, 9 Cu 2.51-2.66
Cu  0.0775  0.7500  0.1394  8 Cu 2.47-2.66, 4 Cr 2.51-2.72
Cu  0.2487  0.0046  0.8841  9 Cu 2.49-2.66, 3 Cr 2.59-2.66
Cr  0.5624  0.7500  0.8464  2 Cr 2.41, 9 Cu 2.51-2.66
Cu  0.7513  0.9954  0.1159  9 Cu 2.49-2.66, 3 Cr 2.59-2.66
Cu  0.2513  0.9954  0.3841  9 Cu 2.49-2.66, 3 Cr 2.59-2.66
Cu  0.7487  0.4954  0.6159  9 Cu 2.49-2.66, 3 Cr 2.59-2.66
Cu  0.4225  0.2500  0.6394  8 Cu 2.47-2.66, 4 Cr 2.51-2.72
Cu  0.2487  0.4954  0.8841  9 Cu 2.49-2.66, 3 Cr 2.59-2.66
Cr  0.9376  0.2500  0.3464  2 Cr 2.41, 9 Cu 2.51-2.66
Cr  0.4376  0.2500  0.1536  2 Cr 2.41, 9 Cu 2.51-2.66
Cu  0.9225  0.2500  0.8606  8 Cu 2.47-2.66, 4 Cr 2.51-2.72
Cu  0.7487  0.0046  0.6159  9 Cu 2.49-2.66, 3 Cr 2.59-2.66

Summary:
E_form ... 0.271 eV per atom
E ... -83.3 eV/cell
Symmetry ... Pnma, No. 62


(5)
CrCu: optimized geometry, PBE.

a b c (Å): 3.5419 3.5419 3.5419
angles (deg): 60.00 60.00 60.00
Closest atoms and distances in Å follow each position.
Positions (direct):
Cr  0.0000  0.0000  0.0000  6 Cu 2.50
Cu  0.5000  0.5000  0.5000  6 Cr 2.50

Summary:
E_form ... 0.979 eV per atom
E ... -11.8 eV/cell
Symmetry ... Fm-3m, No. 225


(6)
Cr3Cu: optimized geometry, PBE.

a b c (Å): 2.3523 4.4088 4.7197
angles (deg): 93.90 90.00 74.53
Closest atoms and distances in Å follow each position.
Positions (direct):
Cr  0.7500  0.5000  0.7500  4 Cr 2.35-2.47
Cr  0.9941  0.0118  0.0035  5 Cr 2.35-2.62, 3 Cu 2.54-2.59
Cu  0.2500  0.5000  0.2500  2 Cu 2.35, 6 Cr 2.54-2.59
Cr  0.5059  0.9882  0.4965  5 Cr 2.35-2.62, 3 Cu 2.54-2.59

Summary:
E_form ... 0.301 eV per atom
E ... -31.8 eV/cell
Symmetry ... C2/m, No. 12


(7)
CrCu3: optimized geometry, PBE.

a b c (Å): 2.5111 4.5088 4.5539
angles (deg): 98.65 90.00 73.83
Closest atoms and distances in Å follow each position.
Positions (direct):
Cr  0.0000  0.0000  0.0000  2 Cr 2.51, 10 Cu 2.59-2.61
Cu  0.5000  0.0000  0.5000  8 Cu 2.51-2.61, 4 Cr 2.60
Cu  0.7510  0.4979  0.7491  9 Cu 2.51-2.61, 3 Cr 2.59-2.61
Cu  0.2490  0.5021  0.2509  9 Cu 2.51-2.61, 3 Cr 2.59-2.61

Summary:
E_form ... 0.244 eV per atom
E ... -20.9 eV/cell
Symmetry ... C2/m, No. 12


(8)
Cr3Cu: optimized geometry, PBE.

a b c (Å): 4.0161 2.9888 4.6491
angles (deg): 71.25 64.41 90.00
Closest atoms and distances in Å follow each position.
Positions (direct):
Cu  0.7500  0.2500  0.5000  12 Cr 2.50-2.72
Cr  0.2500  0.7500  0.5000  4 Cr 2.37, 4 Cu 2.50
Cr  0.4840  0.4840  0.0320  6 Cr 2.37-2.52, 2 Cu 2.56
Cr  0.0160  0.0160  0.9680  6 Cr 2.37-2.52, 2 Cu 2.56

Summary:
E_form ... 0.275 eV per atom
E ... -31.9 eV/cell
Symmetry ... Immm, No. 71


(9)
CrCu3: optimized geometry, PBE.

a b c (Å): 4.6715 4.6715 4.6715
angles (deg): 90.00 90.00 90.00
Closest atoms and distances in Å follow each position.
Positions (direct):
Cu  0.0000  0.2500  0.5000  2 Cu 2.34, 4 Cr 2.61
Cu  0.7500  0.5000  0.0000  2 Cu 2.34, 4 Cr 2.61
Cr  0.5000  0.5000  0.5000  12 Cu 2.61
Cr  0.0000  0.0000  0.0000  12 Cu 2.61
Cu  0.5000  0.0000  0.2500  2 Cu 2.34, 4 Cr 2.61
Cu  0.2500  0.5000  0.0000  2 Cu 2.34, 4 Cr 2.61
Cu  0.0000  0.7500  0.5000  2 Cu 2.34, 4 Cr 2.61
Cu  0.5000  0.0000  0.7500  2 Cu 2.34, 4 Cr 2.61

Summary:
E_form ... 0.270 eV per atom
E ... -41.7 eV/cell
Symmetry ... Pm-3n, No. 223


(10)
Cr3Cu2: optimized geometry, PBE.

a b c (Å): 3.9680 3.9680 4.9808
angles (deg): 90.00 90.00 120.00
Closest atoms and distances in Å follow each position.
Positions (direct):
Cr  0.0000  0.0000  0.0000  6 Cu 2.38
Cu  0.6667  0.3333  0.1293  8 Cr 2.38-2.64, 3 Cu 2.63
Cu  0.3333  0.6667  0.8707  8 Cr 2.38-2.64, 3 Cu 2.63
Cr  0.3333  0.6667  0.3923  5 Cu 2.38-2.64, 3 Cr 2.53
Cr  0.6667  0.3333  0.6077  5 Cu 2.38-2.64, 3 Cr 2.53

Summary:
E_form ... 0.837 eV per atom
E ... -32.9 eV/cell
Symmetry ... P-3m1, No. 164


(11)
DyCrCu4: optimized geometry, PBE.

a b c (Å): 5.0498 5.0498 5.0498
angles (deg): 60.00 60.00 60.00
Closest atoms and distances in Å follow each position.
Positions (direct):
Cu  0.1214  0.6262  0.6262  6 Cu 2.50-2.55
Cu  0.6262  0.1214  0.6262  6 Cu 2.50-2.55
Cu  0.6262  0.6262  0.1214  6 Cu 2.50-2.55
Cu  0.6262  0.6262  0.6262  6 Cu 2.50-2.55
Dy  0.2500  0.2500  0.2500  12 Cu 2.96, 4 Cr 3.09
Cr  0.0000  0.0000  0.0000  12 Cu 2.96, 4 Dy 3.09

Summary:
E_form ... -0.023 eV per atom
E ... -30.7 eV/cell
Symmetry ... F-43m, No. 216


(12)
ErCrCu4: optimized geometry, PBE.

a b c (Å): 5.0310 5.0310 5.0310
angles (deg): 60.00 60.00 60.00
Closest atoms and distances in Å follow each position.
Positions (direct):
Cu  0.6260  0.6260  0.6260  6 Cu 2.50-2.54
Cu  0.6260  0.6260  0.1219  6 Cu 2.50-2.54
Er  0.2500  0.2500  0.2500  12 Cu 2.95, 4 Cr 3.08
Cu  0.6260  0.1219  0.6260  6 Cu 2.50-2.54
Cr  0.0000  0.0000  0.0000  12 Cu 2.95, 4 Er 3.08
Cu  0.1220  0.6260  0.6260  6 Cu 2.50-2.54

Summary:
E_form ... -0.033 eV per atom
E ... -30.8 eV/cell
Symmetry ... F-43m, No. 216